No. 1
# CuTeC3, optimized geometry, DFT GGA-PBEsol
# Formation energy (no corrections) in eV/atom: 3.18
# Uncorrected energy in eV per formula unit: -20.9
data_CuTeC3
_chemical_formula_sum 'Cu1 Te1 C3'
_space_group_name_H-M_alt 'P m -3 m'
_space_group_IT_number 221
_space_group_name_Hall '-P 4 2 3'
_cell_length_a 4.128
_cell_length_b 4.128
_cell_length_c 4.128
_cell_angle_alpha 90.00
_cell_angle_beta 90.00
_cell_angle_gamma 90.00
loop_
_atom_site_label
_atom_site_type_symbol
_atom_site_fract_x
_atom_site_fract_y
_atom_site_fract_z
Cu1 Cu 0.000 0.000 0.000
Te1 Te 0.500 0.500 0.500
C1 C 0.000 0.500 0.500

***

No. 2
# CuTe2C, optimized geometry, DFT GGA-PBEsol
# Formation energy (no corrections) in eV/atom: 1.05
# Uncorrected energy in eV per formula unit: -16.8
data_CuTe2C
_chemical_formula_sum 'Cu3 Te6 C3'
_space_group_name_H-M_alt 'R -3 m'
_space_group_IT_number 166
_space_group_name_Hall '-R 3 2"'
_cell_length_a 4.0792
_cell_length_b 4.0792
_cell_length_c 19.7575
_cell_angle_alpha 90.00
_cell_angle_beta 90.00
_cell_angle_gamma 120.00
loop_
_atom_site_label
_atom_site_type_symbol
_atom_site_fract_x
_atom_site_fract_y
_atom_site_fract_z
Cu1 Cu 0.0000 0.0000 0.0000
Te1 Te 0.0000 0.0000 0.4014
C1 C 0.0000 0.0000 0.5000

***

No. 3
# Ti3CuC, optimized geometry, DFT GGA-PBEsol
# Uncorrected energy in eV per formula unit: -40.8
# Energy of formation from the pure elements in eV per atom: -0.373
data_Ti3CuC
_chemical_formula_sum 'Ti3 Cu1 C1'
_space_group_name_H-M_alt 'P m -3 m'
_space_group_IT_number 221
_space_group_name_Hall '-P 4 2 3'
_cell_length_a 4.095
_cell_length_b 4.095
_cell_length_c 4.095
_cell_angle_alpha 90.00
_cell_angle_beta 90.00
_cell_angle_gamma 90.00
loop_
_atom_site_label
_atom_site_type_symbol
_atom_site_fract_x
_atom_site_fract_y
_atom_site_fract_z
Ti1 Ti 0.000 0.000 0.500
Cu1 Cu 0.500 0.500 0.500
C1 C 0.000 0.000 0.000

***

No. 4
# Ti3CuC, optimized geometry, DFT GGA-PBEsol
# Uncorrected energy in eV per formula unit: -30.7
# Energy of formation from the pure elements in eV per atom: 1.644
data_Ti3CuC
_chemical_formula_sum 'Ti3 Cu1 C1'
_space_group_name_H-M_alt 'P m -3 m'
_space_group_IT_number 221
_space_group_name_Hall '-P 4 2 3'
_cell_length_a 4.412
_cell_length_b 4.412
_cell_length_c 4.412
_cell_angle_alpha 90.00
_cell_angle_beta 90.00
_cell_angle_gamma 90.00
loop_
_atom_site_label
_atom_site_type_symbol
_atom_site_fract_x
_atom_site_fract_y
_atom_site_fract_z
Ti1 Ti 0.000 0.000 0.500
Cu1 Cu 0.000 0.000 0.000
C1 C 0.500 0.500 0.500

***

No. 5
# TlCu2C, optimized geometry, DFT GGA-PBEsol
# Uncorrected energy in eV per formula unit: -15.1
# Energy of formation from the pure elements in eV per atom: 1.463
data_TlCu2C
_chemical_formula_sum 'Tl4 Cu8 C4'
_space_group_name_H-M_alt 'F m -3 m'
_space_group_IT_number 225
_space_group_name_Hall '-F 4 2 3'
_cell_length_a 6.002
_cell_length_b 6.002
_cell_length_c 6.002
_cell_angle_alpha 90.00
_cell_angle_beta 90.00
_cell_angle_gamma 90.00
loop_
_atom_site_label
_atom_site_type_symbol
_atom_site_fract_x
_atom_site_fract_y
_atom_site_fract_z
Tl1 Tl 0.000 0.000 0.000
Cu1 Cu 0.250 0.250 0.250
C1 C 0.000 0.000 0.500

***

No. 6
# Tl2CuC, optimized geometry, DFT GGA-PBEsol
# Uncorrected energy in eV per formula unit: -13.5
# Energy of formation from the pure elements in eV per atom: 1.441
data_Tl2CuC
_chemical_formula_sum 'Tl8 Cu4 C4'
_space_group_name_H-M_alt 'F m -3 m'
_space_group_IT_number 225
_space_group_name_Hall '-F 4 2 3'
_cell_length_a 6.512
_cell_length_b 6.512
_cell_length_c 6.512
_cell_angle_alpha 90.00
_cell_angle_beta 90.00
_cell_angle_gamma 90.00
loop_
_atom_site_label
_atom_site_type_symbol
_atom_site_fract_x
_atom_site_fract_y
_atom_site_fract_z
Tl1 Tl 0.250 0.250 0.250
Cu1 Cu 0.000 0.000 0.000
C1 C 0.000 0.000 0.500

***

No. 7
# Dy4C5, optimized geometry, DFT GGA-PBEsol
# Uncorrected energy in eV per formula unit: -71.4
# Energy of formation from the pure elements in eV per atom: -0.360
data_Dy4C5
_chemical_formula_sum 'Dy8 C10'
_space_group_name_H-M_alt 'P b a m'
_space_group_IT_number 55
_space_group_name_Hall '-P 2 2ab'
_cell_length_a 6.493
_cell_length_b 11.871
_cell_length_c 3.613
_cell_angle_alpha 90.00
_cell_angle_beta 90.00
_cell_angle_gamma 90.00
loop_
_atom_site_label
_atom_site_type_symbol
_atom_site_fract_x
_atom_site_fract_y
_atom_site_fract_z
Dy1 Dy 0.108 0.196 0.000
Dy2 Dy 0.245 0.958 0.500
C1 C 0.000 0.000 0.000
C2 C 0.096 0.656 0.500
C3 C 0.139 0.766 0.500

***

No. 8
# Dy2Fe17C3, optimized geometry, DFT GGA-PBEsol
# Uncorrected energy in eV per formula unit: -193.3
# Energy of formation from the pure elements in eV per atom: -0.091
data_Dy2Fe17C3
_chemical_formula_sum 'Dy6 Fe51 C9'
_space_group_name_H-M_alt 'R -3 m'
_space_group_IT_number 166
_space_group_name_Hall '-R 3 2"'
_cell_length_a 8.4538
_cell_length_b 8.4538
_cell_length_c 12.2490
_cell_angle_alpha 90.00
_cell_angle_beta 90.00
_cell_angle_gamma 120.00
loop_
_atom_site_label
_atom_site_type_symbol
_atom_site_fract_x
_atom_site_fract_y
_atom_site_fract_z
Dy1 Dy 0.0000 0.0000 0.1564
Fe1 Fe 0.0000 0.0000 0.4045
Fe2 Fe 0.0000 0.2826 0.5000
Fe3 Fe 0.0000 0.5000 0.0000
Fe4 Fe 0.0062 0.5031 0.3472
C1 C 0.0000 0.5000 0.5000

***

No. 9
# Dy2Fe17C3, optimized geometry, DFT GGA-PBEsol
# Uncorrected energy in eV per formula unit: -193.3
# Energy of formation from the pure elements in eV per atom: -0.090
data_Dy2Fe17C3
_chemical_formula_sum 'Dy4 Fe34 C6'
_space_group_name_H-M_alt 'P 63/m m c'
_space_group_IT_number 194
_space_group_name_Hall '-P 6c 2c'
_cell_length_a 8.4680
_cell_length_b 8.4680
_cell_length_c 8.1592
_cell_angle_alpha 90.00
_cell_angle_beta 90.00
_cell_angle_gamma 120.00
loop_
_atom_site_label
_atom_site_type_symbol
_atom_site_fract_x
_atom_site_fract_y
_atom_site_fract_z
Dy1 Dy 0.0000 0.0000 0.2500
Dy2 Dy 0.3333 0.6667 0.2500
Fe1 Fe 0.0000 0.5000 0.0000
Fe2 Fe 0.0536 0.3806 0.7500
Fe3 Fe 0.1679 0.3357 0.0202
Fe4 Fe 0.3333 0.6667 0.6075
C1 C 0.1655 0.3311 0.2500

***

No. 10
# DyFe2SiC, optimized geometry, DFT GGA-PBEsol
# Formation energy (no corrections) in eV/atom: -0.61
# Uncorrected energy in eV per formula unit: -41.4
data_DyFe2SiC
_chemical_formula_sum 'Dy4 Fe8 Si4 C4'
_space_group_name_H-M_alt 'C m c m'
_space_group_IT_number 63
_space_group_name_Hall '-C 2c 2'
_cell_length_a 3.715
_cell_length_b 10.295
_cell_length_c 6.626
_cell_angle_alpha 90.00
_cell_angle_beta 90.00
_cell_angle_gamma 90.00
loop_
_atom_site_label
_atom_site_type_symbol
_atom_site_fract_x
_atom_site_fract_y
_atom_site_fract_z
Dy1 Dy 0.000 0.051 0.250
Fe1 Fe 0.000 0.335 0.064
Si1 Si 0.000 0.230 0.750
C1 C 0.000 0.500 0.000

***

No. 11
# Dy12C6I17, optimized geometry, DFT GGA-PBEsol
# Formation energy (no corrections) in eV/atom: -1.15
# Uncorrected energy in eV per formula unit: -187.8
data_Dy12C6I17
_chemical_formula_sum 'Dy48 C24 I68'
_space_group_name_H-M_alt 'C 1 2/c 1'
_space_group_IT_number 15
_space_group_name_Hall '-C 2yc'
_cell_length_a 19.144
_cell_length_b 12.002
_cell_length_c 18.284
_cell_angle_alpha 90.00
_cell_angle_beta 90.93
_cell_angle_gamma 90.00
loop_
_atom_site_label
_atom_site_type_symbol
_atom_site_fract_x
_atom_site_fract_y
_atom_site_fract_z
Dy1 Dy 0.003 0.203 0.477
Dy2 Dy 0.040 0.011 0.874
Dy3 Dy 0.047 0.471 0.346
Dy4 Dy 0.073 0.233 0.212
Dy5 Dy 0.143 0.002 0.551
Dy6 Dy 0.158 0.235 0.384
C1 C 0.035 0.001 0.513
C2 C 0.042 0.171 0.349
C3 C 0.042 0.289 0.346
I1 I 0.000 0.500 0.000
I2 I 0.047 0.263 0.862
I3 I 0.102 0.030 0.709
I4 I 0.105 0.493 0.196
I5 I 0.148 0.249 0.061
I6 I 0.150 0.256 0.550
I7 I 0.196 0.483 0.399
I8 I 0.201 0.011 0.900
I9 I 0.234 0.232 0.248

***

No. 12
# Dy3InC, optimized geometry, DFT GGA-PBEsol
# Uncorrected energy in eV per formula unit: -30.2
# Energy of formation from the pure elements in eV per atom: -0.537
data_Dy3InC
_chemical_formula_sum 'Dy3 In1 C1'
_space_group_name_H-M_alt 'P m -3 m'
_space_group_IT_number 221
_space_group_name_Hall '-P 4 2 3'
_cell_length_a 4.854
_cell_length_b 4.854
_cell_length_c 4.854
_cell_angle_alpha 90.00
_cell_angle_beta 90.00
_cell_angle_gamma 90.00
loop_
_atom_site_label
_atom_site_type_symbol
_atom_site_fract_x
_atom_site_fract_y
_atom_site_fract_z
Dy1 Dy 0.000 0.000 0.500
In1 In 0.500 0.500 0.500
C1 C 0.000 0.000 0.000

***

No. 13
# La3DyC8, optimized geometry, DFT GGA-PBEsol
# Uncorrected energy in eV per formula unit: -99.6
# Energy of formation from the pure elements in eV per atom: -0.120
data_La3DyC8
_chemical_formula_sum 'La3 Dy1 C8'
_space_group_name_H-M_alt 'P 4/m m m'
_space_group_IT_number 123
_space_group_name_Hall '-P 4 2'
_cell_length_a 3.831
_cell_length_b 3.831
_cell_length_c 12.874
_cell_angle_alpha 90.00
_cell_angle_beta 90.00
_cell_angle_gamma 90.00
loop_
_atom_site_label
_atom_site_type_symbol
_atom_site_fract_x
_atom_site_fract_y
_atom_site_fract_z
La1 La 0.000 0.000 0.000
La2 La 0.500 0.500 0.251
Dy1 Dy 0.000 0.000 0.500
C1 C 0.000 0.000 0.207
C2 C 0.000 0.000 0.308
C3 C 0.500 0.500 0.050
C4 C 0.500 0.500 0.450

***

No. 14
# Dy12Mn5C15, optimized geometry, DFT GGA-PBEsol
# Uncorrected energy in eV per formula unit: -266.0
# Energy of formation from the pure elements in eV per atom: -0.399
data_Dy12Mn5C15
_chemical_formula_sum 'Dy12 Mn5 C15'
_space_group_name_H-M_alt 'P -6 2 m'
_space_group_IT_number 189
_space_group_name_Hall 'P -6 -2'
_cell_length_a 10.3240
_cell_length_b 10.3240
_cell_length_c 4.9884
_cell_angle_alpha 90.00
_cell_angle_beta 90.00
_cell_angle_gamma 120.00
loop_
_atom_site_label
_atom_site_type_symbol
_atom_site_fract_x
_atom_site_fract_y
_atom_site_fract_z
Dy1 Dy 0.0000 0.4301 0.0000
Dy2 Dy 0.0000 0.7949 0.0000
Dy3 Dy 0.1871 0.7307 0.5000
Mn1 Mn 0.0000 0.1524 0.5000
Mn2 Mn 0.3333 0.6667 0.0000
C1 C 0.0000 0.3239 0.5000
C2 C 0.0000 0.4552 0.5000
C3 C 0.0000 0.7982 0.5000
C4 C 0.1932 0.7169 0.0000

***

No. 15
# Dy11Mn12C18, optimized geometry, DFT GGA-PBEsol
# Uncorrected energy in eV per formula unit: -361.9
# Energy of formation from the pure elements in eV per atom: -0.399
data_Dy11Mn12C18
_chemical_formula_sum 'Dy22 Mn24 C36'
_space_group_name_H-M_alt 'I -4 3 m'
_space_group_IT_number 217
_space_group_name_Hall 'I -4 2 3'
_cell_length_a 10.020
_cell_length_b 10.020
_cell_length_c 10.020
_cell_angle_alpha 90.00
_cell_angle_beta 90.00
_cell_angle_gamma 90.00
loop_
_atom_site_label
_atom_site_type_symbol
_atom_site_fract_x
_atom_site_fract_y
_atom_site_fract_z
Dy1 Dy 0.000 0.000 0.000
Dy2 Dy 0.000 0.250 0.500
Dy3 Dy 0.206 0.206 0.206
Mn1 Mn 0.078 0.078 0.739
C1 C 0.000 0.000 0.431
C2 C 0.037 0.257 0.743

***

No. 16
# DyMn2SiC, optimized geometry, DFT GGA-PBEsol
# Formation energy (no corrections) in eV/atom: -0.54
# Uncorrected energy in eV per formula unit: -42.6
data_DyMn2SiC
_chemical_formula_sum 'Dy4 Mn8 Si4 C4'
_space_group_name_H-M_alt 'C m c m'
_space_group_IT_number 63
_space_group_name_Hall '-C 2c 2'
_cell_length_a 3.677
_cell_length_b 10.404
_cell_length_c 6.881
_cell_angle_alpha 90.00
_cell_angle_beta 90.00
_cell_angle_gamma 90.00
loop_
_atom_site_label
_atom_site_type_symbol
_atom_site_fract_x
_atom_site_fract_y
_atom_site_fract_z
Dy1 Dy 0.000 0.044 0.250
Mn1 Mn 0.000 0.331 0.063
Si1 Si 0.000 0.236 0.750
C1 C 0.000 0.500 0.000